[1]
DFT (meta-GGA SCAN) results for a crystal of CuPRu2 relaxed with PBEsol.

Properties
Formation energy from the elements: 0.1506 eV per atom
Magnetization: 0.0 μB/f.u.

```
data_CuPRu2
_chemical_formula_sum 'Cu1 P1 Ru2'
_cell_length_a 2.760
_cell_length_b 3.613
_cell_length_c 5.047
_cell_angle_alpha 90.00
_cell_angle_beta 90.00
_cell_angle_gamma 90.00
_space_group_name_H-M_alt 'P m m 2'
_space_group_IT_number 25
loop_
_space_group_symop_operation_xyz
'x,y,z'
'-x,-y,z'
'-x,y,z'
'x,-y,z'
loop_
_atom_site_label
_atom_site_fract_x
_atom_site_fract_y
_atom_site_fract_z
Cu1 0.000 0.000 0.000
P1 0.500 0.500 0.278
Ru1 0.000 0.000 0.496
Ru2 0.500 0.500 0.786
```



[2]
DFT (meta-GGA SCAN) results for a crystal of SrI2Br relaxed with PBEsol.

Properties
Relative energy among the computed polymorphs: 0 meV/atom
Magnetization: 0.0 μB/f.u.
E_form (uncorrected): -1.1446 eV/atom

```
data_SrI2Br
_chemical_formula_sum 'Sr4 I8 Br4'
_cell_length_a 4.779
_cell_length_b 4.779
_cell_length_c 24.993
_cell_angle_alpha 90.00
_cell_angle_beta 90.00
_cell_angle_gamma 90.00
_space_group_name_H-M_alt 'I -4 2 d'
_space_group_IT_number 122
_space_group_name_Hall 'I -4 2bw'
loop_
_atom_site_label
_atom_site_fract_x
_atom_site_fract_y
_atom_site_fract_z
Sr1 0.000 0.000 0.000
I1 0.242 0.250 0.125
Br1 0.000 0.000 0.500
```



[3]
DFT (meta-GGA SCAN) results for a crystal of Ni2PPt relaxed with PBEsol.

Properties
Formation energy from the elements: -0.1814 eV per atom
Magnetization: 0.0 μB/f.u.

```
data_Ni2PPt
_chemical_formula_sum 'Ni2 P1 Pt1'
_cell_length_a 2.768
_cell_length_b 2.768
_cell_length_c 6.133
_cell_angle_alpha 90.00
_cell_angle_beta 90.00
_cell_angle_gamma 90.00
_space_group_name_H-M_alt 'P 4/m m m'
_space_group_IT_number 123
_space_group_name_Hall '-P 4 2'
loop_
_atom_site_label
_atom_site_fract_x
_atom_site_fract_y
_atom_site_fract_z
Ni1 0.000 0.000 0.206
P1 0.500 0.500 0.000
Pt1 0.500 0.500 0.500
```



[4]
DFT (meta-GGA SCAN) results for a crystal of HgSbRh2 relaxed with PBEsol.

Properties
Relative energy among the computed polymorphs: 0 meV/atom
Magnetization: 0.0 μB/f.u.
E_form (uncorrected): -0.1063 eV/atom

```
data_HgSbRh2
_chemical_formula_sum 'Hg2 Sb2 Rh4'
_cell_length_a 7.785
_cell_length_b 3.218
_cell_length_c 5.820
_cell_angle_alpha 90.00
_cell_angle_beta 102.78
_cell_angle_gamma 90.00
_space_group_name_H-M_alt 'C 1 2/m 1'
_space_group_IT_number 12
loop_
_space_group_symop_operation_xyz
'x,y,z'
'-x,-y,-z'
'-x,y,-z'
'x,-y,z'
'x+1/2,y+1/2,z'
'-x+1/2,-y+1/2,-z'
'-x+1/2,y+1/2,-z'
'x+1/2,-y+1/2,z'
loop_
_atom_site_label
_atom_site_fract_x
_atom_site_fract_y
_atom_site_fract_z
Hg1 0.000 0.000 0.000
Sb1 0.000 0.500 0.500
Rh1 0.245 0.000 0.721
```



[5]
DFT (meta-GGA SCAN) results for a crystal of KLuMo2O8 relaxed with PBEsol.

Properties
Magnetization: 0.0 μB/f.u.
E_form (uncorrected): -2.6652 eV/atom

```
data_KLuMo2O8
_chemical_formula_sum 'K4 Lu4 Mo8 O32'
_cell_length_a 4.999
_cell_length_b 18.458
_cell_length_c 7.698
_cell_angle_alpha 90.00
_cell_angle_beta 90.00
_cell_angle_gamma 90.00
_space_group_name_H-M_alt 'P b c n'
_space_group_IT_number 60
loop_
_space_group_symop_operation_xyz
'x,y,z'
'-x,-y,-z'
'-x+1/2,-y+1/2,z+1/2'
'x+1/2,y+1/2,-z+1/2'
'x+1/2,-y+1/2,-z'
'-x+1/2,y+1/2,z'
'-x,y,-z+1/2'
'x,-y,z+1/2'
loop_
_atom_site_label
_atom_site_fract_x
_atom_site_fract_y
_atom_site_fract_z
K1 0.000 0.225 0.250
Lu1 0.000 0.004 0.750
Mo1 0.021 0.402 0.512
O1 0.104 0.315 0.985
O2 0.237 0.405 0.331
O3 0.244 0.408 0.693
O4 0.245 0.032 0.506
```



[6]
DFT (meta-GGA SCAN) results for a crystal of Rb2BiCO relaxed with PBEsol.

Properties
Magnetization: 0.0 μB/f.u.
E_form (uncorrected): 0.4965 eV/atom

```
data_Rb2BiCO
_chemical_formula_sum 'Rb2 Bi1 C1 O1'
_cell_length_a 6.432
_cell_length_b 6.432
_cell_length_c 3.203
_cell_angle_alpha 90.00
_cell_angle_beta 90.00
_cell_angle_gamma 90.00
_space_group_name_H-M_alt 'P 4/m m m'
_space_group_IT_number 123
_space_group_name_Hall '-P 4 2'
loop_
_atom_site_label
_atom_site_fract_x
_atom_site_fract_y
_atom_site_fract_z
Rb1 0.000 0.500 0.000
Bi1 0.000 0.000 0.500
C1 0.500 0.500 0.500
O1 0.500 0.500 0.000
```



[7]
DFT (meta-GGA SCAN) results for a crystal of Mn3O2F4 relaxed with PBEsol.

Properties
Relative energy among the computed polymorphs: 13 meV/atom
Magnetization: 13.0 μB/f.u.
E_form (uncorrected): -2.5830 eV/atom

```
data_Mn3O2F4
_chemical_formula_sum 'Mn6 O4 F8'
_cell_length_a 7.799
_cell_length_b 4.672
_cell_length_c 5.614
_cell_angle_alpha 90.00
_cell_angle_beta 92.50
_cell_angle_gamma 90.00
_space_group_name_H-M_alt 'P 1 21/c 1'
_space_group_IT_number 14
loop_
_space_group_symop_operation_xyz
'x,y,z'
'-x,-y,-z'
'-x,y+1/2,-z+1/2'
'x,-y+1/2,z+1/2'
loop_
_atom_site_label
_atom_site_fract_x
_atom_site_fract_y
_atom_site_fract_z
Mn1 0.000 0.000 0.000
Mn2 0.323 0.043 0.329
O1 0.218 0.193 0.041
F1 0.102 0.720 0.801
F2 0.425 0.703 0.122
```



[8]
DFT (meta-GGA SCAN) results for a crystal of Zr2CdRh relaxed with PBEsol.

Properties
Formation energy from the elements: -0.3659 eV per atom
Magnetization: 0.0 μB/f.u.

```
data_Zr2CdRh
_chemical_formula_sum 'Zr4 Cd2 Rh2'
_cell_length_a 4.242
_cell_length_b 4.242
_cell_length_c 8.207
_cell_angle_alpha 90.00
_cell_angle_beta 90.00
_cell_angle_gamma 90.00
_space_group_name_H-M_alt 'I 4/m m m'
_space_group_IT_number 139
_space_group_name_Hall '-I 4 2'
loop_
_atom_site_label
_atom_site_fract_x
_atom_site_fract_y
_atom_site_fract_z
Zr1 0.000 0.500 0.250
Cd1 0.000 0.000 0.000
Rh1 0.000 0.000 0.500
```



What is the magnetization in the fourth record?
0.0 μB/f.u.